1.
Computed, not measured: a geometry-optimized ScCoBiOs structure at the PBE-GGA level of DFT.

a b c (Å): 4.586 4.586 4.586
angles (deg): 60.00 60.00 60.00
Fractional coordinates of all 4 atoms:
Co  0.750  0.750  0.750
Bi  0.000  0.000  0.000
Os  0.250  0.250  0.250
Sc  0.500  0.500  0.500

Properties
Magnetization (μB per atom): 0.00
V (Å³/cell): 68.2
Space group: F-43m
Offset from the most stable computed form (meV/atom): 0.0

---

2.
Computed, not measured: a geometry-optimized LiHfU3 structure at the PBE-GGA level of DFT.

a b c (Å): 6.023 6.295 6.295
angles (deg): 60.19 90.00 90.00
Fractional coordinates of all 10 atoms:
Hf  0.000  0.001  0.001
U  0.750  0.533  0.531
U  0.750  0.935  0.534
Li  0.000  0.332  0.332
Hf  0.500  0.001  0.001
U  0.250  0.531  0.533
U  0.250  0.935  0.532
Li  0.500  0.332  0.332
U  0.250  0.534  0.935
U  0.750  0.532  0.935

Properties
Magnetization (μB per atom): 0.01
V (Å³/cell): 207.1
Space group: Ama2
E_tot (eV per atom): -8.505

---

3.
Computed, not measured: a geometry-optimized Dy2Er2TmLu2Ni2Te2 structure at the PBE-GGA level of DFT.

a b c (Å): 9.277 9.277 9.277
angles (deg): 156.11 67.12 118.32
Fractional coordinates of all 11 atoms:
Er  0.376  0.729  0.646
Tm  0.001  0.001  0.000
Dy  0.691  0.377  0.315
Ni  0.306  0.069  0.237
Dy  0.062  0.377  0.685
Lu  0.717  0.582  0.134
Ni  0.833  0.069  0.763
Te  0.733  0.233  0.500
Lu  0.448  0.582  0.866
Er  0.083  0.729  0.354
Te  0.340  0.340  0.000

Properties
Magnetization (μB per atom): 0.00
V (Å³/cell): 282.3
Space group: Imm2
Offset from the most stable computed form (meV/atom): 12.6

---

4.
Computed, not measured: a geometry-optimized Zr3CdCN structure at the PBE-GGA level of DFT.

a b c (Å): 3.343 3.343 20.200
angles (deg): 90.00 90.00 120.00
Fractional coordinates of all 12 atoms:
Zr  0.667  0.333  0.378
Zr  0.000  0.000  0.000
Cd  0.000  0.000  0.254
Zr  0.333  0.667  0.622
N  0.333  0.667  0.433
C  0.667  0.333  0.930
Cd  0.000  0.000  0.746
Zr  0.667  0.333  0.128
N  0.667  0.333  0.567
C  0.333  0.667  0.070
Zr  0.333  0.667  0.872
Zr  0.000  0.000  0.500

Properties
Magnetization (μB per atom): 0.00
V (Å³/cell): 195.5
Space group: P-3m1
E_tot (eV per atom): -8.260

---

5.
Computed, not measured: a geometry-optimized TbYSi2Os structure at the PBE-GGA level of DFT.

a b c (Å): 5.766 5.766 10.046
angles (deg): 116.89 116.89 43.01
Fractional coordinates of all 10 atoms:
Y  0.009  0.009  0.679
Si  0.498  0.498  0.125
Os  0.271  0.271  0.626
Tb  0.186  0.186  0.111
Tb  0.814  0.814  0.889
Si  0.354  0.354  0.439
Os  0.729  0.729  0.374
Si  0.646  0.646  0.561
Si  0.502  0.502  0.875
Y  0.991  0.991  0.321

Properties
Magnetization (μB per atom): 0.02
V (Å³/cell): 199.1
Space group: C2/m
Offset from the most stable computed form (meV/atom): 3.2

---

6.
Computed, not measured: a geometry-optimized Hf3Zr3Sb2Pd structure at the PBE-GGA level of DFT.

a b c (Å): 7.845 7.845 3.659
angles (deg): 90.00 90.00 120.00
Fractional coordinates of all 9 atoms:
Zr  0.254  0.000  0.500
Sb  0.333  0.667  0.500
Hf  0.402  0.402  0.000
Pd  0.000  0.000  0.000
Zr  0.746  0.746  0.500
Zr  0.000  0.254  0.500
Sb  0.667  0.333  0.500
Hf  0.598  0.000  0.000
Hf  0.000  0.598  0.000

Properties
Magnetization (μB per atom): 0.00
V (Å³/cell): 195.0
Space group: P-62m
Offset from the most stable computed form (meV/atom): 85.8

---

7.
Computed, not measured: a geometry-optimized TbGdGa2Ag2 structure at the PBE-GGA level of DFT.

a b c (Å): 4.615 4.615 7.060
angles (deg): 90.00 90.00 120.00
Fractional coordinates of all 6 atoms:
Gd  0.000  0.000  0.000
Ga  0.333  0.667  0.284
Tb  0.000  0.000  0.500
Ag  0.667  0.333  0.760
Ag  0.667  0.333  0.240
Ga  0.333  0.667  0.716

Properties
Magnetization (μB per atom): 0.00
V (Å³/cell): 130.2
Space group: P-6m2
E_tot (eV per atom): -4.005

---

8.
Computed, not measured: a geometry-optimized NaLuGe structure at the PBE-GGA level of DFT.

a b c (Å): 4.801 4.801 4.801
angles (deg): 60.00 60.00 60.00
Fractional coordinates of all 3 atoms:
Lu  0.000  0.000  0.000
Na  0.750  0.750  0.750
Ge  0.250  0.250  0.250

Properties
Magnetization (μB per atom): 0.00
V (Å³/cell): 78.2
Space group: F-43m
E_tot (eV per atom): -3.403

---

9.
Computed, not measured: a geometry-optimized LaInPd structure at the PBE-GGA level of DFT.

a b c (Å): 5.028 5.028 5.028
angles (deg): 60.00 60.00 60.00
Fractional coordinates of all 3 atoms:
Pd  0.750  0.750  0.750
La  0.000  0.000  0.000
In  0.250  0.250  0.250

Properties
Magnetization (μB per atom): 0.00
V (Å³/cell): 89.9
Space group: F-43m
E_tot (eV per atom): -4.329

---

10.
Computed, not measured: a geometry-optimized TbSbNO structure at the PBE-GGA level of DFT.

a b c (Å): 4.911 4.911 5.054
angles (deg): 90.00 90.00 90.00
Fractional coordinates of all 8 atoms:
O  0.500  0.500  0.000
Tb  0.000  0.000  0.500
N  0.000  0.500  0.409
Sb  0.500  0.000  0.000
Sb  0.000  0.500  0.000
O  0.000  0.000  0.000
Tb  0.500  0.500  0.500
N  0.500  0.000  0.591

Properties
Magnetization (μB per atom): 0.00
V (Å³/cell): 121.9
Space group: P4/nmm
Offset from the most stable computed form (meV/atom): 324.4

---

11.
Computed, not measured: a geometry-optimized PrGa3 structure at the PBE-GGA level of DFT.

a b c (Å): 4.559 6.536 6.536
angles (deg): 119.84 90.00 90.00
Fractional coordinates of all 8 atoms:
Ga  0.750  0.141  0.285
Ga  0.750  0.142  0.858
Ga  0.250  0.858  0.142
Ga  0.250  0.285  0.141
Ga  0.750  0.715  0.859
Pr  0.250  0.334  0.666
Ga  0.250  0.859  0.715
Pr  0.750  0.666  0.334

Properties
Magnetization (μB per atom): 0.00
V (Å³/cell): 168.9
Space group: Cmcm
E_tot (eV per atom): -4.048

---

12.
Computed, not measured: a geometry-optimized HoLuMg2Au4 structure at the PBE-GGA level of DFT.

a b c (Å): 4.837 4.837 6.843
angles (deg): 90.00 90.00 90.00
Fractional coordinates of all 8 atoms:
Au  0.000  0.500  0.246
Lu  0.500  0.500  0.000
Mg  0.500  0.500  0.500
Mg  0.000  0.000  0.000
Au  0.500  0.000  0.754
Au  0.500  0.000  0.246
Au  0.000  0.500  0.754
Ho  0.000  0.000  0.500

Properties
Magnetization (μB per atom): 0.00
V (Å³/cell): 160.1
Space group: P4/mmm
E_tot (eV per atom): -3.946

---

13.
Computed, not measured: a geometry-optimized Zr2SiAs2 structure at the PBE-GGA level of DFT.

a b c (Å): 7.671 7.671 7.671
angles (deg): 152.15 152.15 39.79
Fractional coordinates of all 5 atoms:
Zr  0.603  0.603  0.000
As  0.750  0.250  0.500
As  0.250  0.750  0.500
Si  0.000  0.000  0.000
Zr  0.397  0.397  0.000

Properties
Magnetization (μB per atom): 0.07
V (Å³/cell): 98.3
Space group: I4/mmm
E_tot (eV per atom): -6.874

---

14.
Computed, not measured: a geometry-optimized BeNbCoB structure at the PBE-GGA level of DFT.

a b c (Å): 3.896 3.896 3.896
angles (deg): 60.00 60.00 60.00
Site moments in Bohr magnetons follow the coordinates.
Fractional coordinates of all 4 atoms:
Be  0.500  0.500  0.500  -0.01
Nb  0.250  0.250  0.250  0.45
B  0.000  0.000  0.000  0.01
Co  0.750  0.750  0.750  0.83

Properties
Magnetization (μB per atom): 0.32
V (Å³/cell): 41.8
Space group: F-43m
Offset from the most stable computed form (meV/atom): 0.0

---

15.
Computed, not measured: a geometry-optimized Hf4Sb2PC structure at the PBE-GGA level of DFT.

a b c (Å): 3.585 3.585 13.685
angles (deg): 90.00 90.00 120.00
Fractional coordinates of all 8 atoms:
Hf  0.333  0.667  0.606
Hf  0.667  0.333  0.085
P  0.000  0.000  0.500
Sb  0.333  0.667  0.242
C  0.000  0.000  0.000
Hf  0.667  0.333  0.394
Sb  0.667  0.333  0.758
Hf  0.333  0.667  0.915

Properties
Magnetization (μB per atom): 0.00
V (Å³/cell): 152.3
Space group: P-3m1
E_tot (eV per atom): -8.635

---

16.
Computed, not measured: a geometry-optimized TaF2 structure at the PBE-GGA level of DFT.

a b c (Å): 4.515 4.515 4.515
angles (deg): 60.00 60.00 60.00
Fractional coordinates of all 6 atoms:
F  0.125  0.625  0.625
F  0.625  0.125  0.625
Ta  0.250  0.250  0.250
F  0.625  0.625  0.625
Ta  0.000  0.000  0.000
F  0.625  0.625  0.125

Properties
Magnetization (μB per atom): 0.00
V (Å³/cell): 65.1
Space group: Fd-3m
Offset from the most stable computed form (meV/atom): 799.7

---

17.
Computed, not measured: a geometry-optimized Ba4ZnCuPt2 structure at the PBE-GGA level of DFT.

a b c (Å): 4.557 4.557 16.728
angles (deg): 90.00 90.00 120.00
Fractional coordinates of all 8 atoms:
Zn  0.333  0.667  0.500
Cu  0.000  0.000  0.000
Ba  0.000  0.000  0.626
Ba  0.000  0.000  0.374
Pt  0.667  0.333  0.000
Pt  0.667  0.333  0.500
Ba  0.333  0.667  0.121
Ba  0.333  0.667  0.879

Properties
Magnetization (μB per atom): 0.00
V (Å³/cell): 300.8
Space group: P-6m2
E_tot (eV per atom): -3.605

---

18.
Computed, not measured: a geometry-optimized SmCdSb structure at the PBE-GGA level of DFT.

a b c (Å): 5.056 5.056 5.056
angles (deg): 60.00 60.00 60.00
Fractional coordinates of all 3 atoms:
Cd  0.500  0.500  0.500
Sm  0.000  0.000  0.000
Sb  0.250  0.250  0.250

Properties
Magnetization (μB per atom): 0.00
V (Å³/cell): 91.4
Space group: F-43m
Offset from the most stable computed form (meV/atom): 132.2

---

19.
Computed, not measured: a geometry-optimized Ac2Zn5Ni5 structure at the PBE-GGA level of DFT.

a b c (Å): 4.068 5.388 9.251
angles (deg): 90.00 90.00 90.00
Fractional coordinates of all 12 atoms:
Zn  0.500  0.500  0.500
Zn  0.500  0.755  0.244
Ac  0.000  0.000  0.500
Ni  0.000  0.000  0.157
Ni  0.000  0.500  0.667
Ac  0.000  0.500  0.000
Ni  0.500  0.000  0.000
Ni  0.000  0.000  0.843
Zn  0.500  0.755  0.756
Zn  0.500  0.245  0.244
Ni  0.000  0.500  0.333
Zn  0.500  0.245  0.756

Properties
Formation energy from the elements (eV per formula unit): -3.7
Magnetization (μB per atom): 0.00
V (Å³/cell): 202.8
Space group: Pmmm

---

20.
Computed, not measured: a geometry-optimized PmTcAs structure at the PBE-GGA level of DFT.

a b c (Å): 4.573 4.573 4.573
angles (deg): 60.00 60.00 60.00
Fractional coordinates of all 3 atoms:
Tc  0.750  0.750  0.750
As  0.000  0.000  0.000
Pm  0.250  0.250  0.250

Properties
Magnetization (μB per atom): 0.51
V (Å³/cell): 67.6
Space group: F-43m
E_tot (eV per atom): -6.693